Density functional theory data (PBE-GGA) for Pu2Mg after structural relaxation.

Values from the calculation:
V   162.58 Å³ per cell
Total DFT energy (no corrections)   -0.3572 hartree per atom
Symmetry   Fd-3m (227)
Polymorph energy (0 for the lowest one)   73 meV per atom
Energy of formation   0.367 eV per atom
DOS(E_F)   4.22 states/eV/atom

Geometry as extended XYZ:
```
6
Lattice="-5.991 1.176 -0.502 -4.029 -3.115 3.405 -2.965 2.805 4.569" Properties=species:S:1:pos:R:3 pbc="T T T"
Mg 0.000 0.000 0.000
Mg -3.246 0.217 1.868
Pu -5.120 -0.046 4.921
Pu -6.101 2.099 2.967
Pu -8.116 0.542 4.670
Pu -6.633 -0.861 2.385
```